The following is a DFT calculation (PBE) of an optimized crystal structure of K2TlBrO2.

Summary:
E_form (uncorrected) = -1.14 eV/atom
size of the total moment = 0.00 μB per formula unit
DOS at the Fermi energy = 0.2594 states/eV/atom

Cell: 4.406 4.406 7.139 Å, 90.00 90.00 90.00°
Positions (direct):
K  0.000  0.000  0.246
K  0.000  0.000  0.754
Tl  0.500  0.500  0.000
Br  0.500  0.500  0.500
O  0.000  0.500  0.000
O  0.500  0.000  0.000